Entry 1:
Material: SrPtN2
Method: DFT, PBE
State: optimized geometry

## Properties
As for the uncorrected formation energy: 0.743 eV per atom. The calculation puts the relative energy among the computed polymorphs at 642 meV per atom.

Cell: 6.610 6.610 6.610 Å, 30.35 30.35 30.35°
Fractional coordinates of all 4 atoms:
N 0.126 0.126 0.126
N 0.874 0.874 0.874
Sr 0.000 0.000 0.000
Pt 0.500 0.500 0.500



Entry 2:
Material: Ba3Tl2Sn3
Method: DFT, PBE
State: optimized geometry

## Properties
The value obtained for the formation energy from the elements is -4.00 eV per formula unit.

Cell: 5.183 6.967 17.307 Å, 90.00 90.00 111.84°
Fractional coordinates of all 16 atoms:
Sn 0.384 0.769 0.546
Sn 0.634 0.269 0.750
Sn 0.616 0.231 0.454
Sn 0.384 0.769 0.954
Sn 0.366 0.731 0.250
Sn 0.616 0.231 0.046
Tl 0.234 0.468 0.405
Tl 0.766 0.532 0.595
Tl 0.234 0.468 0.095
Tl 0.766 0.532 0.905
Ba 0.927 0.854 0.109
Ba 0.073 0.146 0.891
Ba 0.656 0.312 0.250
Ba 0.344 0.688 0.750
Ba 0.073 0.146 0.609
Ba 0.927 0.854 0.391



no.,theoretical density (kg/m³),spin magnetization (Bohr magnetons per cell),D(E_F) (states/eV/cell)
1,7896,0.3,2.52
2,6737,0.0,5.91